! PBE-GGA CuAg4Ru, optimized geometry; values from VASP
&SYSTEM
  ibrav = 0, nat = 6, ntyp = 3
/
ATOMIC_SPECIES
Cu 63.55 Cu.upf
Ag 107.87 Ag.upf
Ru 101.07 Ru.upf
ATOMIC_POSITIONS crystal
Cu 0.750 0.750 0.750
Ag 0.875 0.375 0.375
Ag 0.375 0.375 0.875
Ag 0.375 0.875 0.375
Ag 0.375 0.375 0.375
Ru 0.000 0.000 0.000
CELL_PARAMETERS angstrom
5.286 0.536 0.586
1.979 4.148 2.728
2.251 -0.778 4.785
! D(E_F)   6.51 states/eV per cell
! Calculated formation energy   698 meV per atom
! Space group   F-43m (216)
! Total magnetic moment   0.32 μB per atom

! PBE-GGA CuAgRu2, optimized geometry; values from VASP
&SYSTEM
  ibrav = 0, nat = 4, ntyp = 3
/
ATOMIC_SPECIES
Ag 107.87 Ag.upf
Cu 63.55 Cu.upf
Ru 101.07 Ru.upf
ATOMIC_POSITIONS crystal
Ag 0.497 0.497 0.497
Cu 0.747 0.747 0.747
Ru 0.999 0.999 0.999
Ru 0.257 0.257 0.257
CELL_PARAMETERS angstrom
9.047 -0.013 -0.007
8.631 2.712 -0.007
8.631 1.318 2.371
! D(E_F)   4.69 states/eV per cell
! Calculated formation energy   253 meV per atom
! Space group   R3m (160)
! Total magnetic moment   0.00 μB per atom

! PBE-GGA Cu4AgRu, optimized geometry; values from VASP
&SYSTEM
  ibrav = 0, nat = 6, ntyp = 3
/
ATOMIC_SPECIES
Cu 63.55 Cu.upf
Ag 107.87 Ag.upf
Ru 101.07 Ru.upf
ATOMIC_POSITIONS crystal
Cu 0.874 0.375 0.375
Cu 0.375 0.375 0.874
Cu 0.375 0.874 0.375
Cu 0.375 0.375 0.375
Ag 0.000 0.000 0.000
Ru 0.750 0.750 0.750
CELL_PARAMETERS angstrom
0.000 3.417 3.417
3.417 0.000 3.417
3.417 3.417 0.000
! D(E_F)   6.44 states/eV per cell
! Calculated formation energy   281 meV per atom
! Space group   F-43m (216)
! Total magnetic moment   0.10 μB per atom

! PBE-GGA Cu2AgRu, optimized geometry; values from VASP
&SYSTEM
  ibrav = 0, nat = 4, ntyp = 3
/
ATOMIC_SPECIES
Ag 107.87 Ag.upf
Cu 63.55 Cu.upf
Ru 101.07 Ru.upf
ATOMIC_POSITIONS crystal
Ag 0.256 0.256 0.179
Cu 0.012 0.012 0.058
Cu 0.741 0.741 0.685
Ru 0.490 0.490 0.577
CELL_PARAMETERS angstrom
5.082 0.047 0.167
4.396 2.551 0.167
1.545 0.424 4.440
! D(E_F)   0.78 states/eV per cell
! Calculated formation energy   297 meV per atom
! Space group   Cm (8)
! Total magnetic moment   0.00 μB per atom

! PBE-GGA CuAg2Ru, optimized geometry; values from VASP
&SYSTEM
  ibrav = 0, nat = 4, ntyp = 3
/
ATOMIC_SPECIES
Ag 107.87 Ag.upf
Cu 63.55 Cu.upf
Ru 101.07 Ru.upf
ATOMIC_POSITIONS crystal
Ag 0.000 0.058 0.000
Ag 0.500 0.431 0.251
Cu 0.000 0.305 0.533
Ru 0.500 0.705 0.716
CELL_PARAMETERS angstrom
4.266 0.000 0.000
0.000 2.650 0.001
0.000 1.352 5.530
! D(E_F)   3.67 states/eV per cell
! Calculated formation energy   398 meV per atom
! Space group   Pm (6)
! Total magnetic moment   0.00 μB per atom

! PBE-GGA Cu2AgRu, optimized geometry; values from VASP
&SYSTEM
  ibrav = 0, nat = 4, ntyp = 3
/
ATOMIC_SPECIES
Ag 107.87 Ag.upf
Cu 63.55 Cu.upf
Ru 101.07 Ru.upf
ATOMIC_POSITIONS crystal
Ag 0.500 0.500 0.750
Cu 0.000 0.000 0.012
Cu 0.000 0.000 0.488
Ru 0.500 0.500 0.250
CELL_PARAMETERS angstrom
-0.377 1.975 1.814
-2.270 0.741 -1.279
-4.049 -4.812 4.398
! D(E_F)   3.69 states/eV per cell
! Calculated formation energy   260 meV per atom
! Space group   P4/mmm (123)
! Total magnetic moment   0.28 μB per atom

! PBE-GGA CuAgRu2, optimized geometry; values from VASP
&SYSTEM
  ibrav = 0, nat = 4, ntyp = 3
/
ATOMIC_SPECIES
Ag 107.87 Ag.upf
Cu 63.55 Cu.upf
Ru 101.07 Ru.upf
ATOMIC_POSITIONS crystal
Ag 0.500 0.500 0.000
Cu 0.750 0.250 0.500
Ru 0.000 0.000 0.000
Ru 0.250 0.750 0.500
CELL_PARAMETERS angstrom
-4.346 -1.696 0.087
0.327 -4.643 0.329
1.989 3.364 2.551
! D(E_F)   4.90 states/eV per cell
! Calculated formation energy   464 meV per atom
! Space group   I-4m2 (119)
! Total magnetic moment   0.00 μB per atom

! PBE-GGA Cu2AgRu, optimized geometry; values from VASP
&SYSTEM
  ibrav = 0, nat = 4, ntyp = 3
/
ATOMIC_SPECIES
Ag 107.87 Ag.upf
Cu 63.55 Cu.upf
Ru 101.07 Ru.upf
ATOMIC_POSITIONS crystal
Ag 0.750 0.750 0.750
Cu 0.996 0.996 0.996
Cu 0.504 0.504 0.504
Ru 0.250 0.250 0.250
CELL_PARAMETERS angstrom
9.048 0.014 0.008
8.640 2.687 0.008
8.640 1.319 2.341
! D(E_F)   2.75 states/eV per cell
! Calculated formation energy   243 meV per atom
! Space group   R-3m (166)
! Total magnetic moment   0.00 μB per atom

! PBE-GGA CuAg2Ru, optimized geometry; values from VASP
&SYSTEM
  ibrav = 0, nat = 4, ntyp = 3
/
ATOMIC_SPECIES
Ag 107.87 Ag.upf
Cu 63.55 Cu.upf
Ru 101.07 Ru.upf
ATOMIC_POSITIONS crystal
Ag 0.997 0.997 0.997
Ag 0.503 0.503 0.503
Cu 0.250 0.250 0.250
Ru 0.750 0.750 0.750
CELL_PARAMETERS angstrom
-1.781 -3.703 -8.475
-2.535 -5.868 -6.917
-4.344 -3.831 -7.428
! D(E_F)   2.70 states/eV per cell
! Calculated formation energy   366 meV per atom
! Space group   R-3m (166)
! Total magnetic moment   0.11 μB per atom

! PBE-GGA CuAg2Ru, optimized geometry; values from VASP
&SYSTEM
  ibrav = 0, nat = 4, ntyp = 3
/
ATOMIC_SPECIES
Ag 107.87 Ag.upf
Cu 63.55 Cu.upf
Ru 101.07 Ru.upf
ATOMIC_POSITIONS crystal
Ag 0.988 0.988 0.000
Ag 0.512 0.512 0.000
Cu 0.750 0.250 0.500
Ru 0.250 0.750 0.500
CELL_PARAMETERS angstrom
-3.390 0.583 4.351
-3.547 -4.030 1.394
5.142 1.953 -0.714
! D(E_F)   3.41 states/eV per cell
! Calculated formation energy   442 meV per atom
! Space group   Immm (71)
! Total magnetic moment   0.00 μB per atom

! PBE-GGA CuAgRu2, optimized geometry; values from VASP
&SYSTEM
  ibrav = 0, nat = 4, ntyp = 3
/
ATOMIC_SPECIES
Ag 107.87 Ag.upf
Cu 63.55 Cu.upf
Ru 101.07 Ru.upf
ATOMIC_POSITIONS crystal
Ag 0.508 0.508 0.000
Cu 0.755 0.255 0.500
Ru 0.000 0.000 0.000
Ru 0.237 0.737 0.500
CELL_PARAMETERS angstrom
-0.572 1.400 4.976
-4.803 1.171 1.617
3.256 -3.558 -1.947
! D(E_F)   4.37 states/eV per cell
! Calculated formation energy   520 meV per atom
! Space group   Imm2 (44)
! Total magnetic moment   0.00 μB per atom

! PBE-GGA Cu2AgRu, optimized geometry; values from VASP
&SYSTEM
  ibrav = 0, nat = 4, ntyp = 3
/
ATOMIC_SPECIES
Ag 107.87 Ag.upf
Cu 63.55 Cu.upf
Ru 101.07 Ru.upf
ATOMIC_POSITIONS crystal
Ag 0.000 0.500 0.500
Cu 0.000 0.000 0.000
Cu 0.500 0.500 0.000
Ru 0.500 0.000 0.500
CELL_PARAMETERS angstrom
4.705 0.072 -0.033
-1.312 4.519 -0.033
0.017 0.023 2.618
! D(E_F)   2.80 states/eV per cell
! Calculated formation energy   292 meV per atom
! Space group   Cmmm (65)
! Total magnetic moment   0.00 μB per atom

! PBE-GGA CuAg2Ru, optimized geometry; values from VASP
&SYSTEM
  ibrav = 0, nat = 8, ntyp = 3
/
ATOMIC_SPECIES
Ru 101.07 Ru.upf
Cu 63.55 Cu.upf
Ag 107.87 Ag.upf
ATOMIC_POSITIONS crystal
Ru 0.000 0.000 0.000
Ru 0.750 0.250 0.500
Cu 0.500 0.500 0.000
Cu 0.250 0.750 0.500
Ag 0.622 0.125 0.250
Ag 0.128 0.625 0.250
Ag 0.375 0.378 0.750
Ag 0.875 0.872 0.750
CELL_PARAMETERS angstrom
3.760 0.000 0.000
0.000 3.760 0.000
1.880 1.880 9.660
! D(E_F)   6.39 states/eV per cell
! Calculated formation energy   785 meV per atom
! Space group   I-42d (122)
! Total magnetic moment   0.38 μB per atom

! PBE-GGA Cu2AgRu, optimized geometry; values from VASP
&SYSTEM
  ibrav = 0, nat = 4, ntyp = 3
/
ATOMIC_SPECIES
Ag 107.87 Ag.upf
Cu 63.55 Cu.upf
Ru 101.07 Ru.upf
ATOMIC_POSITIONS crystal
Ag 0.500 0.500 0.762
Cu 0.000 0.000 0.022
Cu 0.500 0.500 0.239
Ru 0.000 0.000 0.477
CELL_PARAMETERS angstrom
2.693 0.000 0.000
0.000 2.693 0.000
0.000 0.000 7.756
! D(E_F)   3.01 states/eV per cell
! Calculated formation energy   301 meV per atom
! Space group   P4mm (99)
! Total magnetic moment   0.32 μB per atom

! PBE-GGA CuAg2Ru, optimized geometry; values from VASP
&SYSTEM
  ibrav = 0, nat = 4, ntyp = 3
/
ATOMIC_SPECIES
Ag 107.87 Ag.upf
Cu 63.55 Cu.upf
Ru 101.07 Ru.upf
ATOMIC_POSITIONS crystal
Ag 0.000 0.000 0.000
Ag 0.500 0.500 0.000
Cu 0.500 0.000 0.500
Ru 0.000 0.500 0.500
CELL_PARAMETERS angstrom
2.729 0.000 0.000
0.000 4.750 0.000
0.000 0.000 4.826
! D(E_F)   3.06 states/eV per cell
! Calculated formation energy   451 meV per atom
! Space group   Pmmm (47)
! Total magnetic moment   0.00 μB per atom